The following is a DFT calculation (PBE) of an optimized crystal structure of TaMnTe2I.

Output
Offset from the most stable computed form ... 0 meV per atom

Lattice parameters (Å, degrees): 5.435 5.435 5.612 90.00 90.00 90.00
Fractional coordinates of all 5 atoms:
Ta 0.000 0.000 0.000
Te 0.000 0.500 0.000
I 0.000 0.000 0.500
Mn 0.500 0.500 0.500
Te 0.500 0.000 0.000

***

The following is a DFT calculation (PBE) of an optimized crystal structure of Tb4MnI5.

Lattice parameters (Å, degrees): 4.016 9.431 9.941 103.38 101.65 90.00
Fractional coordinates of all 10 atoms:
Mn 0.500 0.000 0.000
Tb 0.627 0.064 0.255
I 0.166 0.325 0.331
I 0.834 0.675 0.669
I 0.168 0.841 0.336
Tb 0.373 0.936 0.745
I 0.500 0.500 0.000
Tb 0.000 0.222 0.000
Tb 0.000 0.778 0.000
I 0.832 0.159 0.664

***

no.,total magnetization (μB per cell),final energy (eV/atom)
1,5.64,-5.19
2,0.00,-4.44